[1]
Entry from Alexandria: a crystal of LaCu6 relaxed with PBEsol (SCAN).

Cell lengths 5.029, 10.032, 8.028 Å; angles 90.00, 93.29, 90.00 degrees
Sites, in units of the cell vectors:
La 0.227 0.063 0.238
La 0.227 0.437 0.738
La 0.773 0.563 0.262
La 0.773 0.937 0.762
Cu 0.002 0.695 0.932
Cu 0.002 0.805 0.432
Cu 0.251 0.516 0.099
Cu 0.251 0.984 0.599
Cu 0.253 0.745 0.683
Cu 0.253 0.755 0.183
Cu 0.261 0.144 0.848
Cu 0.261 0.356 0.348
Cu 0.305 0.596 0.441
Cu 0.305 0.904 0.941
Cu 0.491 0.187 0.559
Cu 0.491 0.313 0.059
Cu 0.509 0.687 0.941
Cu 0.509 0.813 0.441
Cu 0.695 0.096 0.059
Cu 0.695 0.404 0.559
Cu 0.739 0.644 0.652
Cu 0.739 0.856 0.152
Cu 0.747 0.245 0.817
Cu 0.747 0.255 0.317
Cu 0.749 0.016 0.401
Cu 0.749 0.484 0.901
Cu 0.998 0.195 0.568
Cu 0.998 0.305 0.068

- Magnetization: 0.00 μB/cell
- Volume: 404 Å³/cell
- Density: 8545 kg/m³
- Formation energy from the elements: -0.121 eV/atom
- Symmetry: P2_1/c



[2]
Entry from Alexandria: a crystal of BeOsSe relaxed with PBEsol (SCAN).

Cell lengths 2.941, 2.941, 5.450 Å; angles 90.00, 90.00, 120.00 degrees
Sites, in units of the cell vectors:
Be 0.000 0.000 0.000
Os 0.333 0.667 0.692
Se 0.667 0.333 0.351

- Magnetization: 0.00 μB/cell
- Volume: 41 Å³/cell
- Energy relative to the lowest polymorph listed for this composition: 0 meV per atom
- Density: 11318 kg/m³
- Formation energy (no corrections): 0.345 eV/atom
- Symmetry: P3m1



[3]
Entry from Alexandria: a crystal of La4AlSi relaxed with PBEsol (SCAN).

Cell lengths 6.218, 6.218, 6.218 Å; angles 60.00, 60.00, 60.00 degrees
Sites, in units of the cell vectors:
La 0.125 0.125 0.125
La 0.125 0.125 0.626
La 0.125 0.626 0.125
La 0.626 0.125 0.125
Al 0.500 0.500 0.500
Si 0.750 0.750 0.750

- Magnetization: 0.00 μB/cell
- Volume: 170 Å³/cell
- Density: 5965 kg/m³
- Formation energy (no corrections): 0.365 eV/atom
- Symmetry: F-43m



[4]
Entry from Alexandria: a crystal of BeTc2Os relaxed with PBEsol (SCAN).

Cell lengths 8.344, 8.344, 8.344 Å; angles 18.58, 18.58, 18.58 degrees
Sites, in units of the cell vectors:
Be 0.000 0.000 0.000
Tc 0.253 0.253 0.253
Tc 0.499 0.499 0.499
Os 0.744 0.744 0.744

- Magnetization: 0.00 μB/cell
- Volume: 52 Å³/cell
- Density: 12738 kg/m³
- Formation energy from the elements: 0.048 eV/atom
- Symmetry: R3m



[5]
Entry from Alexandria: a crystal of MnCuSi3 relaxed with PBEsol (SCAN).

Cell lengths 4.324, 4.324, 4.324 Å; angles 90.00, 90.00, 90.00 degrees
Sites, in units of the cell vectors:
Mn 0.000 0.000 0.000
Cu 0.500 0.500 0.500
Si 0.000 0.000 0.500
Si 0.000 0.500 0.000
Si 0.500 0.000 0.000

- Magnetization: 0.00 μB/cell
- Volume: 81 Å³/cell
- Density: 4163 kg/m³
- Formation energy (no corrections): 0.566 eV/atom
- Symmetry: Pm-3m



[6]
Entry from Alexandria: a crystal of Nd2CdS4 relaxed with PBEsol (SCAN).

Cell lengths 7.307, 7.307, 7.307 Å; angles 110.80, 110.80, 106.84 degrees
Sites, in units of the cell vectors:
Nd 0.007 0.125 0.382
Nd 0.375 0.993 0.118
Nd 0.743 0.625 0.618
Nd 0.875 0.257 0.882
Cd 0.250 0.750 0.500
Cd 0.500 0.500 0.000
S 0.120 0.002 0.738
S 0.133 0.514 0.762
S 0.264 0.383 0.262
S 0.486 0.248 0.618
S 0.617 0.880 0.882
S 0.630 0.867 0.382
S 0.752 0.370 0.238
S 0.998 0.736 0.118

- Magnetization: 0.00 μB/cell
- Volume: 300 Å³/cell
- Density: 5861 kg/m³
- Formation energy (no corrections): -1.824 eV/atom
- Symmetry: I-42d



[7]
Entry from Alexandria: a crystal of NiPHPt2 relaxed with PBEsol (SCAN).

Cell lengths 4.712, 4.712, 2.817 Å; angles 90.00, 90.00, 90.00 degrees
Sites, in units of the cell vectors:
Ni 0.000 0.000 0.000
P 0.500 0.500 0.500
H 0.000 0.000 0.500
Pt 0.000 0.500 0.000
Pt 0.500 0.000 0.000

- Magnetization: 0.00 μB/cell
- Volume: 63 Å³/cell
- Density: 12765 kg/m³
- Symmetry: P4/mmm
- Uncorrected energy: -33.65 eV/atom



[8]
Entry from Alexandria: a crystal of Lu2S3O12 relaxed with PBEsol (SCAN).

Cell lengths 9.331, 9.331, 9.331 Å; angles 57.71, 57.71, 57.71 degrees
Sites, in units of the cell vectors:
Lu 0.144 0.144 0.144
Lu 0.356 0.356 0.356
Lu 0.644 0.644 0.644
Lu 0.856 0.856 0.856
S 0.035 0.750 0.465
S 0.250 0.535 0.965
S 0.465 0.035 0.750
S 0.535 0.965 0.250
S 0.750 0.465 0.035
S 0.965 0.250 0.535
O 0.007 0.771 0.625
O 0.062 0.911 0.304
O 0.089 0.696 0.938
O 0.125 0.271 0.507
O 0.196 0.589 0.438
O 0.229 0.375 0.993
O 0.271 0.507 0.125
O 0.304 0.062 0.911
O 0.375 0.993 0.229
O 0.411 0.562 0.804
O 0.438 0.196 0.589
O 0.493 0.875 0.729
O 0.507 0.125 0.271
O 0.562 0.804 0.411
O 0.589 0.438 0.196
O 0.625 0.007 0.771
O 0.696 0.938 0.089
O 0.729 0.493 0.875
O 0.771 0.625 0.007
O 0.804 0.411 0.562
O 0.875 0.729 0.493
O 0.911 0.304 0.062
O 0.938 0.089 0.696
O 0.993 0.229 0.375

- Magnetization: 0.00 μB/cell
- Volume: 544 Å³/cell
- Density: 3894 kg/m³
- Formation energy (no corrections): -2.445 eV/atom
- Symmetry: R-3c